1.
DFT (PBE) results for crystalline Tl2Os at its relaxed geometry. Values from VASP.

```
&SYSTEM
  ibrav = 0, nat = 3, ntyp = 2
/
ATOMIC_SPECIES
Os 190.23 Os.upf
Tl 204.38 Tl.upf
CELL_PARAMETERS angstrom
7.0457 0.4424 0.0000
5.3659 4.5875 0.0000
-6.2058 -2.5150 2.2363
ATOMIC_POSITIONS angstrom
Os 0.0000 0.0000 0.0000
Tl 7.9579 3.2251 0.0000
Tl 4.4537 1.8049 0.0000
```

Output
ΔE to the lowest computed polymorph = 0.514 eV per atom
N(E_F) = 0.901 states/eV per atom
electronic total energy = -4.333 eV/atom
DFT formation energy = 95 kJ/mol of atoms
magnetization = 0.00 μB/f.u.


2.
DFT (PBE) results for crystalline TlOs at its relaxed geometry. Values from VASP.

```
&SYSTEM
  ibrav = 0, nat = 2, ntyp = 2
/
ATOMIC_SPECIES
Os 190.23 Os.upf
Tl 204.38 Tl.upf
CELL_PARAMETERS angstrom
3.0364 0.0001 0.0000
-1.4939 2.6435 0.0000
0.0000 0.0000 4.6582
ATOMIC_POSITIONS angstrom
Os 0.0000 0.0000 0.0000
Tl 0.7713 1.3218 2.3291
```

Output
ΔE to the lowest computed polymorph = 0.632 eV per atom
N(E_F) = 1.326 states/eV per atom
electronic total energy = -5.563 eV/atom
DFT formation energy = 119 kJ/mol of atoms
magnetization = 0.00 μB/f.u.


3.
DFT (PBE) results for crystalline Tl4Os at its relaxed geometry. Values from VASP.

```
&SYSTEM
  ibrav = 0, nat = 5, ntyp = 2
/
ATOMIC_SPECIES
Os 190.23 Os.upf
Tl 204.38 Tl.upf
CELL_PARAMETERS angstrom
-2.0275 2.0275 8.7032
2.0275 -2.0275 8.7032
2.0275 2.0275 -8.7032
ATOMIC_POSITIONS angstrom
Os 0.0000 0.0000 0.0000
Tl 0.0000 0.0000 7.2453
Tl 2.0275 0.0000 4.3516
Tl 0.0000 0.0000 10.1611
Tl 0.0000 2.0275 4.3516
```

Output
ΔE to the lowest computed polymorph = 0.708 eV per atom
N(E_F) = 0.774 states/eV per atom
electronic total energy = -3.032 eV/atom
DFT formation energy = 107 kJ/mol of atoms
magnetization = 1.97 μB/f.u.


4.
DFT (PBE) results for crystalline Tl3Os at its relaxed geometry. Values from VASP.

```
&SYSTEM
  ibrav = 0, nat = 4, ntyp = 2
/
ATOMIC_SPECIES
Tl 204.38 Tl.upf
Os 190.23 Os.upf
CELL_PARAMETERS angstrom
10.9751 0.0261 0.0153
10.5009 3.1911 0.0153
10.5009 1.5731 2.7764
ATOMIC_POSITIONS angstrom
Tl 8.4167 1.2609 0.7389
Tl 15.9884 2.3952 1.4035
Tl 23.5602 3.5295 2.0682
Os 0.0000 0.0000 0.0000
```

Output
ΔE to the lowest computed polymorph = 0.275 eV per atom
N(E_F) = 0.811 states/eV per atom
electronic total energy = -3.870 eV/atom
DFT formation energy = 69 kJ/mol of atoms
magnetization = 0.00 μB/f.u.


5.
DFT (PBE) results for crystalline TlOs at its relaxed geometry. Values from VASP.

```
&SYSTEM
  ibrav = 0, nat = 4, ntyp = 2
/
ATOMIC_SPECIES
Tl 204.38 Tl.upf
Os 190.23 Os.upf
CELL_PARAMETERS angstrom
3.4774 0.0000 0.0000
0.0000 2.8645 -0.0604
0.0000 1.6698 8.5356
ATOMIC_POSITIONS angstrom
Tl 1.7387 1.6280 1.7170
Tl 0.0000 1.7728 4.6394
Os 0.0000 1.8310 8.0657
Os 1.7387 3.2396 6.8264
```

Output
ΔE to the lowest computed polymorph = 0.000 eV per atom
N(E_F) = 0.447 states/eV per atom
electronic total energy = -6.195 eV/atom
DFT formation energy = 58 kJ/mol of atoms
magnetization = 0.00 μB/f.u.


6.
DFT (PBE) results for crystalline Tl2Os at its relaxed geometry. Values from VASP.

```
&SYSTEM
  ibrav = 0, nat = 6, ntyp = 2
/
ATOMIC_SPECIES
Tl 204.38 Tl.upf
Os 190.23 Os.upf
CELL_PARAMETERS angstrom
1.4973 6.4845 -0.3255
-1.4973 6.4845 -0.3255
0.0000 -0.0725 8.2044
ATOMIC_POSITIONS angstrom
Tl 0.0000 7.4428 6.3845
Tl 0.0000 4.1484 7.0834
Tl 0.0000 8.6669 1.4435
Tl 0.0000 11.7884 3.7656
Os 0.0000 4.6146 1.7366
Os 0.0000 12.8475 0.3372
```

Output
ΔE to the lowest computed polymorph = 0.203 eV per atom
N(E_F) = 0.759 states/eV per atom
electronic total energy = -4.644 eV/atom
DFT formation energy = 65 kJ/mol of atoms
magnetization = 0.00 μB/f.u.


7.
DFT (PBE) results for crystalline Tl3Os at its relaxed geometry. Values from VASP.

```
&SYSTEM
  ibrav = 0, nat = 4, ntyp = 2
/
ATOMIC_SPECIES
Os 190.23 Os.upf
Tl 204.38 Tl.upf
CELL_PARAMETERS angstrom
5.4574 0.0126 0.0000
1.6989 5.1863 0.0000
-3.5781 -2.5995 3.1974
ATOMIC_POSITIONS angstrom
Os 0.0000 0.0000 0.0000
Tl 0.8494 2.5931 1.5987
Tl 3.5781 2.5995 0.0000
Tl 2.7287 0.0063 1.5987
```

Output
ΔE to the lowest computed polymorph = 0.527 eV per atom
N(E_F) = 1.023 states/eV per atom
electronic total energy = -3.618 eV/atom
DFT formation energy = 93 kJ/mol of atoms
magnetization = 0.02 μB/f.u.


8.
DFT (PBE) results for crystalline TlOs at its relaxed geometry. Values from VASP.

```
&SYSTEM
  ibrav = 0, nat = 16, ntyp = 2
/
ATOMIC_SPECIES
Tl 204.38 Tl.upf
Os 190.23 Os.upf
CELL_PARAMETERS angstrom
10.0507 0.0000 0.0000
0.0000 10.0507 0.0000
0.0000 0.0000 3.7104
ATOMIC_POSITIONS angstrom
Tl 1.9790 8.7332 0.0000
Tl 6.8929 3.6551 1.8552
Tl 3.6551 3.1578 1.8552
Tl 3.1578 6.3956 1.8552
Tl 1.3175 1.9790 0.0000
Tl 8.0717 1.3175 0.0000
Tl 8.7332 8.0717 0.0000
Tl 6.3956 6.8929 1.8552
Os 5.5689 1.1796 1.8552
Os 9.3376 3.9028 0.0000
Os 3.9028 0.7131 0.0000
Os 1.1796 4.4818 1.8552
Os 0.7131 6.1479 0.0000
Os 6.1479 9.3376 0.0000
Os 4.4818 8.8711 1.8552
Os 8.8711 5.5689 1.8552
```

Output
ΔE to the lowest computed polymorph = 0.222 eV per atom
N(E_F) = 0.887 states/eV per atom
electronic total energy = -5.973 eV/atom
DFT formation energy = 80 kJ/mol of atoms
magnetization = 0.00 μB/f.u.


Q: What is the DFT formation energy in the seventh record?
A: 93 kJ/mol of atoms